No. 1
Sr5Ca4Mg2 | PBE-GGA | relaxed

Values from the calculation:
E_tot	-1.774	eV per atom
formation energy from the elements	8	meV per atom
SG	Pbam (55)

extended XYZ file:
```
22
Lattice="-0.029 1.405 -3.883 -8.489 -5.502 -1.927 -12.982 17.748 6.517" Properties=species:S:1:pos:R:3 pbc="T T T"
Sr -4.245 -2.751 -0.964
Sr -6.491 8.874 3.258
Sr -5.182 2.550 0.961
Sr -16.289 9.695 3.628
Sr -10.054 0.656 0.312
Sr -11.418 11.590 4.277
Sr -8.634 5.492 2.051
Sr -12.838 6.753 2.538
Sr -8.365 -3.429 -1.178
Sr -13.106 15.674 5.767
Ca -9.969 9.335 1.255
Ca -11.531 4.315 -0.549
Ca -18.716 12.740 2.552
Ca -2.784 0.911 -1.846
Ca -14.697 13.376 2.752
Ca -6.803 0.274 -2.046
Ca -16.393 7.140 0.509
Ca -5.108 6.510 0.197
Mg -8.092 3.469 -0.881
Mg -13.408 10.182 1.587
Mg -10.887 -1.265 -2.572
Mg -10.614 14.915 3.279
```

No. 2
Co3BOs | PBE-GGA | relaxed

Values from the calculation:
E_tot	-5.537	eV per atom
formation energy from the elements	2308	meV per atom
energy above the lowest structure with this stoichiometry	1972	meV per atom
SG	Pm-3m (221)

extended XYZ file:
```
5
Lattice="-4.261 -0.135 -1.288 1.295 -0.397 -4.243 0.014 -4.434 0.419" Properties=species:S:1:pos:R:3 pbc="T T T"
Co 0.647 -0.198 -2.121
Co 0.007 -2.217 0.209
Co -2.131 -0.068 -0.644
B -1.476 -2.483 -2.556
Os 0.000 0.000 0.000
```

No. 3
BiP2PbO8 | PBE-GGA | relaxed

Values from the calculation:
E_tot	-6.609	eV per atom
SG	R-3 (148)

extended XYZ file:
```
12
Lattice="-1.524 4.747 -0.664 -2.885 2.224 3.469 4.708 4.803 4.484" Properties=species:S:1:pos:R:3 pbc="T T T"
Bi 0.000 0.000 0.000
P 0.092 2.950 1.832
P 0.208 8.824 5.456
Pb 0.150 5.887 3.644
O 1.349 3.455 2.554
O -0.797 4.176 1.446
O -1.049 8.320 4.734
O -2.219 6.746 2.125
O 2.518 5.028 5.163
O -2.362 4.401 4.013
O 2.662 7.374 3.275
O 1.097 7.599 5.842
```

No. 4
Li2Nd3Rh3 | PBE-GGA | relaxed

Values from the calculation:
E_tot	-5.476	eV per atom
formation energy from the elements	-453	meV per atom
SG	P6_3/mcm (193)

extended XYZ file:
```
16
Lattice="-4.599 -0.493 3.321 -0.191 -8.323 -1.500 4.412 3.016 6.557" Properties=species:S:1:pos:R:3 pbc="T T T"
Li 2.877 -0.764 3.872
Li -0.957 -4.790 2.846
Li 1.343 -4.543 1.186
Li 0.578 -1.010 5.532
Nd -3.504 -2.761 2.060
Nd -0.442 -4.152 6.095
Nd -2.182 0.497 4.375
Nd -1.286 -6.055 -0.239
Nd 0.063 -1.648 2.283
Nd 1.994 2.026 5.504
Rh -3.569 -5.558 1.556
Rh -1.860 -2.368 4.395
Rh -0.699 1.511 6.579
Rh -1.222 -3.257 0.265
Rh 1.481 -3.432 3.983
Rh 0.511 1.012 3.299
```

No. 5
LaHgSb4 | PBE-GGA | relaxed

Values from the calculation:
E_tot	-3.857	eV per atom
SG	F-43m (216)

extended XYZ file:
```
6
Lattice="0.000 4.463 4.463 4.463 0.000 4.463 4.463 4.463 0.000" Properties=species:S:1:pos:R:3 pbc="T T T"
La 0.000 0.000 0.000
Hg 6.695 6.695 6.695
Sb 3.355 5.572 5.572
Sb 5.572 5.572 3.355
Sb 5.572 3.355 5.572
Sb 3.355 3.355 3.355
```

No. 6
Li2Co2Si | PBE-GGA | relaxed

Values from the calculation:
E_tot	-4.791	eV per atom
energy above the lowest structure with this stoichiometry	0	meV per atom
SG	P4/mbm (127)

extended XYZ file:
```
10
Lattice="-0.918 -4.025 3.855 1.775 -3.915 -3.665 3.887 0.453 1.399" Properties=species:S:1:pos:R:3 pbc="T T T"
Si 0.000 0.000 0.000
Si 0.428 -3.970 0.095
Co 1.197 -4.826 -1.764
Co 0.343 -5.968 0.979
Co -0.340 -3.115 1.954
Co 0.514 -1.973 -0.789
Li 2.976 -3.075 -1.101
Li 2.804 -5.720 0.235
Li 1.768 -4.412 2.690
Li 1.940 -1.768 1.354
```

No. 7
YbSn3 | PBE-GGA | relaxed

Values from the calculation:
E_tot	-3.826	eV per atom
formation energy from the elements	-443	meV per atom
SG	Pm-3m (221)

extended XYZ file:
```
4
Lattice="4.726 0.000 0.000 0.000 4.726 0.000 0.000 0.000 4.726" Properties=species:S:1:pos:R:3 pbc="T T T"
Yb 0.000 0.000 0.000
Sn 0.000 2.363 2.363
Sn 2.363 2.363 0.000
Sn 2.363 0.000 2.363
```

No. 8
K2Sb4Pt3Rh | PBE-GGA | relaxed

Values from the calculation:
E_tot	-4.877	eV per atom
SG	P-4m2 (115)

extended XYZ file:
```
10
Lattice="-3.766 0.645 -2.825 -2.897 -0.730 3.695 0.151 10.372 2.167" Properties=species:S:1:pos:R:3 pbc="T T T"
K -1.845 2.955 -0.862
K -1.336 7.375 3.465
Sb -3.331 -0.042 0.435
Sb 0.000 0.000 0.000
Sb -1.790 6.743 -0.071
Sb -1.391 3.587 2.673
Pt 0.075 5.186 1.084
Pt -1.751 9.418 0.488
Pt -1.430 0.912 2.114
Rh -3.256 5.144 1.518
```

No. 9
Nd3Mg3Zn8 | PBE-GGA | relaxed

Values from the calculation:
E_tot	-2.390	eV per atom
formation energy from the elements	-298	meV per atom
SG	Immm (71)

extended XYZ file:
```
14
Lattice="-0.989 4.169 -1.554 -8.371 1.100 1.594 -1.871 4.650 6.979" Properties=species:S:1:pos:R:3 pbc="T T T"
Nd -5.616 4.960 3.510
Nd -2.880 4.492 0.516
Nd -8.351 5.427 6.504
Mg -0.495 2.085 -0.777
Mg -7.041 1.827 2.697
Mg -3.202 3.923 5.877
Zn -2.495 5.698 3.504
Zn -8.737 4.221 3.515
Zn -6.042 3.761 0.565
Zn -5.190 6.158 6.454
Zn -8.526 6.819 3.665
Zn -2.706 3.101 3.355
Zn -6.746 7.791 5.140
Zn -4.486 2.128 1.880
```

No. 10
Pr6Ni2GeCl3 | PBE-GGA | relaxed

Values from the calculation:
E_tot	-5.190	eV per atom
SG	C2/m (12)

extended XYZ file:
```
12
Lattice="-2.077 -1.995 2.947 4.679 -7.248 -1.609 5.800 5.693 5.060" Properties=species:S:1:pos:R:3 pbc="T T T"
Pr 7.343 -3.281 2.953
Pr 3.251 -3.424 2.853
Pr 1.060 -0.268 3.445
Pr 1.249 -1.667 -0.248
Pr 7.154 -1.883 6.647
Pr 5.152 -0.125 3.546
Ni 5.209 -2.689 4.731
Ni 3.193 -0.860 1.668
Ge -1.038 -0.997 1.474
Cl 1.301 -4.621 0.669
Cl 2.976 0.997 5.652
Cl 5.427 -4.546 0.747
```

No. 11
NaSrYI6 | PBE-GGA | relaxed

Values from the calculation:
E_tot	-3.543	eV per atom
SG	P-31c (163)

extended XYZ file:
```
18
Lattice="-7.369 0.146 -3.241 2.112 -6.006 4.929 -4.806 7.556 11.267" Properties=species:S:1:pos:R:3 pbc="T T T"
Na 0.000 0.000 0.000
Na -2.403 3.778 5.633
Sr -2.250 -2.066 5.022
Sr -7.813 3.762 7.932
Y -5.410 -0.016 2.299
Y -4.653 1.711 10.655
I -4.152 -2.795 2.431
I -7.094 -0.916 -0.084
I -3.422 -1.080 10.784
I -2.969 2.611 13.038
I -3.733 0.858 4.696
I -7.635 -0.885 4.200
I -6.857 0.829 12.575
I -6.641 2.775 2.170
I -2.428 2.580 8.754
I -3.206 0.867 0.379
I -6.330 0.837 8.259
I -5.911 4.490 10.523
```

No. 12
BeInCo2 | PBE-GGA | relaxed

Values from the calculation:
E_tot	-5.127	eV per atom
formation energy from the elements	42	meV per atom
SG	P4/mmm (123)

extended XYZ file:
```
4
Lattice="2.852 0.000 0.000 0.000 2.852 0.000 0.000 0.000 5.937" Properties=species:S:1:pos:R:3 pbc="T T T"
Be 1.426 1.426 4.453
Co 0.000 0.000 5.644
Co 0.000 0.000 3.262
In 1.426 1.426 1.484
```

no.,M_tot (μB/f.u.)
1,0.000
2,3.095
3,0.000
4,0.000
5,0.000
6,0.061
7,0.000
8,0.000
9,0.000
10,0.001
11,0.000
12,0.239